Below is crystalline Mn2Al4Si5O18 at its relaxed geometry, with properties calculated at the PBE with a Hubbard U level.

a = 9.3913 Å, b = 10.0026 Å, c = 10.1213 Å
α = 60.39°, β = 90.00°, γ = 90.00°
Last column: nearest neighbours and their distance in Å.
Sites, in units of the cell vectors:
Mn 0.7500 0.1630 0.6740  6 O 2.22-2.24
Mn 0.7500 0.8370 0.3260  6 O 2.22-2.24
Mn 0.2500 0.8370 0.3260  6 O 2.22-2.24
Mn 0.2500 0.1630 0.6740  6 O 2.22-2.24
Al 0.0000 0.1470 0.0947  4 O 1.73-1.79
Al 0.0000 0.8530 0.9053  4 O 1.73-1.79
Al 0.5000 0.2417 0.9053  4 O 1.73-1.79
Al 0.5000 0.7583 0.0947  4 O 1.73-1.79
Al 0.7501 0.5000 0.5000  4 O 1.76-1.77
Al 0.7499 0.0000 0.5000  4 O 1.76-1.77
Al 0.2499 0.5000 0.5000  4 O 1.76-1.77
Al 0.2501 0.0000 0.5000  4 O 1.76-1.77
Si 0.5000 0.1349 0.2698  4 O 1.59-1.66
Si 0.0000 0.7699 0.6242  4 O 1.60-1.66
Si 0.5000 0.6059 0.6242  4 O 1.60-1.66
Si 0.5000 0.8651 0.7302  4 O 1.59-1.66
Si 0.7500 0.0000 0.0000  4 O 1.64
Si 0.2500 0.0000 0.0000  4 O 1.64
Si 0.0000 0.4047 0.7302  4 O 1.59-1.66
Si 0.0000 0.5953 0.2698  4 O 1.59-1.66
Si 0.0000 0.2301 0.3758  4 O 1.60-1.66
Si 0.5000 0.3941 0.3758  4 O 1.60-1.66
O 0.0000 0.4123 0.3223  2 Si 1.62-1.63
O 0.0000 0.5877 0.6777  2 Si 1.62-1.63
O 0.5000 0.7346 0.6777  2 Si 1.62-1.63
O 0.5000 0.2654 0.3223  2 Si 1.62-1.63
O 0.0000 0.1949 0.2374  1 Si 1.60, 1 Al 1.73
O 0.0000 0.8051 0.7626  1 Si 1.60, 1 Al 1.73
O 0.5000 0.4323 0.7626  1 Si 1.60, 1 Al 1.73
O 0.5000 0.5677 0.2374  1 Si 1.60, 1 Al 1.73
O 0.0000 0.7019 0.0897  1 Si 1.59, 1 Al 1.73
O 0.0000 0.2981 0.9103  1 Si 1.59, 1 Al 1.73
O 0.5000 0.7916 0.9103  1 Si 1.59, 1 Al 1.73
O 0.5000 0.2084 0.0897  1 Si 1.59, 1 Al 1.73
O 0.6418 0.0248 0.3468  1 Si 1.66, 1 Al 1.76
O 0.6418 0.9752 0.6532  1 Si 1.66, 1 Al 1.76
O 0.8582 0.3717 0.6532  1 Si 1.66, 1 Al 1.76
O 0.8582 0.6283 0.3468  1 Si 1.66, 1 Al 1.76
O 0.3582 0.9752 0.6532  1 Si 1.66, 1 Al 1.76
O 0.3582 0.0248 0.3468  1 Si 1.66, 1 Al 1.76
O 0.1418 0.6283 0.3468  1 Si 1.66, 1 Al 1.76
O 0.1418 0.3717 0.6532  1 Si 1.66, 1 Al 1.76
O 0.6507 0.1455 0.8811  1 Si 1.64, 1 Al 1.79
O 0.6507 0.8545 0.1189  1 Si 1.64, 1 Al 1.79
O 0.1415 0.1513 0.4849  1 Si 1.66, 1 Al 1.77
O 0.1415 0.8487 0.5151  1 Si 1.66, 1 Al 1.77
O 0.3585 0.6362 0.5151  1 Si 1.66, 1 Al 1.77
O 0.3585 0.3638 0.4849  1 Si 1.66, 1 Al 1.77
O 0.8585 0.8487 0.5151  1 Si 1.66, 1 Al 1.77
O 0.8585 0.1513 0.4849  1 Si 1.66, 1 Al 1.77
O 0.6415 0.3638 0.4849  1 Si 1.66, 1 Al 1.77
O 0.8493 0.0265 0.1189  1 Si 1.64, 1 Al 1.79
O 0.1507 0.0265 0.1189  1 Si 1.64, 1 Al 1.79
O 0.1507 0.9735 0.8811  1 Si 1.64, 1 Al 1.79
O 0.3493 0.1455 0.8811  1 Si 1.64, 1 Al 1.79
O 0.3493 0.8545 0.1189  1 Si 1.64, 1 Al 1.79
O 0.8493 0.9735 0.8811  1 Si 1.64, 1 Al 1.79
O 0.6415 0.6362 0.5151  1 Si 1.66, 1 Al 1.77

Summary:
**Electronic total energy**: -7.79 eV/atom
**V**: 827 Å³/cell
**Density of states at the Fermi level**: 0.00 states/eV/f.u.